This record from Alexandria via LeMat-Bulk describes crystalline LaTmCo at its relaxed geometry. The functional is PBE-GGA.

Computed properties:
total DFT energy (no corrections) = -16.72 eV per formula unit
calculated formation energy = -0.213 eV per formula unit
offset from the most stable computed form = 0.082 eV/atom
DOS(E_F) = 3.0 states/eV per cell

Unit cell a=3.407 b=3.407 c=6.916 alpha=104.26 beta=104.26 gamma=90.00
Last column: magnetic moment on the atom in μB.
Positions (direct):
Tm  0.044  0.044  0.088  -0.05
Co  0.659  0.659  0.318  0.77
La  0.297  0.297  0.595  -0.04


This record from Alexandria via LeMat-Bulk describes crystalline Tm2MnZn at its relaxed geometry. The functional is PBE-GGA.

Computed properties:
total DFT energy (no corrections) = -19.63 eV per formula unit
calculated formation energy = -0.245 eV per formula unit
offset from the most stable computed form = 0.039 eV/atom
DOS(E_F) = 5.0 states/eV per cell

Unit cell a=4.935 b=4.935 c=4.935 alpha=60.00 beta=60.00 gamma=60.00
Last column: magnetic moment on the atom in μB.
Positions (direct):
Zn  0.500  0.500  0.500  -0.04
Tm  0.250  0.250  0.250  -0.25
Tm  0.750  0.750  0.750  -0.25
Mn  0.000  0.000  0.000  3.23


This record from Alexandria via LeMat-Bulk describes crystalline CeHoThMg at its relaxed geometry. The functional is PBE-GGA.

Computed properties:
total DFT energy (no corrections) = -18.81 eV per formula unit
calculated formation energy = 0.718 eV per formula unit
DOS(E_F) = 9.7 states/eV per cell

Unit cell a=5.500 b=5.500 c=5.500 alpha=60.00 beta=60.00 gamma=60.00
Last column: magnetic moment on the atom in μB.
Positions (direct):
Mg  0.750  0.750  0.750  0.00
Ce  0.000  0.000  0.000  0.45
Ho  0.500  0.500  0.500  0.06
Th  0.250  0.250  0.250  0.13


This record from Alexandria via LeMat-Bulk describes crystalline KHfP2Cl at its relaxed geometry. The functional is PBE-GGA.

Computed properties:
total DFT energy (no corrections) = -17.32 eV per formula unit
formation energy from raw total energies = 1.28 eV per atom
offset from the most stable computed form = 1.964 eV/atom
DOS(E_F) = 2.0 states/eV per cell

Unit cell a=5.080 b=5.080 c=4.984 alpha=90.00 beta=90.00 gamma=90.00
Positions (direct):
P  0.000  0.500  0.000
P  0.500  0.000  0.000
K  0.000  0.000  0.000
Hf  0.500  0.500  0.500
Cl  0.000  0.000  0.500


This record from Alexandria via LeMat-Bulk describes crystalline KMnPbSe3 at its relaxed geometry. The functional is PBE-GGA.

Computed properties:
total DFT energy (no corrections) = -28.07 eV per formula unit
formation energy from raw total energies = -0.61 eV per atom
DOS(E_F) = 4.8 states/eV per cell

Unit cell a=4.225 b=9.664 c=9.580 alpha=98.49 beta=90.00 gamma=90.00
Last column: magnetic moment on the atom in μB.
Positions (direct):
K  0.250  0.156  0.185  0.00
K  0.750  0.844  0.815  0.00
Mn  0.250  0.072  0.581  2.71
Mn  0.750  0.928  0.419  2.71
Pb  0.250  0.623  0.149  0.00
Pb  0.750  0.377  0.851  0.00
Se  0.750  0.880  0.177  0.01
Se  0.250  0.120  0.823  0.01
Se  0.250  0.831  0.482  -0.10
Se  0.750  0.169  0.518  -0.10
Se  0.750  0.409  0.153  -0.02
Se  0.250  0.591  0.847  -0.02


This record from Alexandria via LeMat-Bulk describes crystalline TlTc2P at its relaxed geometry. The functional is PBE-GGA.

Computed properties:
total DFT energy (no corrections) = -27.20 eV per formula unit
calculated formation energy = 1.308 eV per formula unit
offset from the most stable computed form = 0.283 eV/atom
DOS(E_F) = 3.8 states/eV per cell

Unit cell a=5.176 b=5.176 c=5.176 alpha=145.83 beta=119.91 gamma=70.97
Positions (direct):
Tl  0.000  0.500  0.500
Tc  0.709  0.709  0.000
Tc  0.291  0.291  0.000
P  0.500  0.000  0.500


This record from Alexandria via LeMat-Bulk describes crystalline AcPm6Sm3Y2 at its relaxed geometry. The functional is PBE-GGA.

Computed properties:
total DFT energy (no corrections) = -59.42 eV per formula unit
calculated formation energy = 0.273 eV per formula unit
DOS(E_F) = 17.1 states/eV per cell

Unit cell a=6.337 b=6.337 c=12.163 alpha=94.99 beta=94.99 gamma=119.98
Positions (direct):
Ac  0.000  0.000  0.000
Pm  0.915  0.579  0.747
Pm  0.749  0.749  0.253
Pm  0.085  0.421  0.253
Pm  0.579  0.915  0.747
Pm  0.251  0.251  0.747
Pm  0.421  0.085  0.253
Sm  0.167  0.833  0.500
Sm  0.833  0.167  0.500
Sm  0.500  0.500  0.500
Y  0.333  0.667  0.000
Y  0.667  0.333  0.000


This record from Alexandria via LeMat-Bulk describes crystalline Al2GaAg9 at its relaxed geometry. The functional is PBE-GGA.

Computed properties:
total DFT energy (no corrections) = -36.35 eV per formula unit
calculated formation energy = -0.172 eV per formula unit
DOS(E_F) = 3.7 states/eV per cell

Unit cell a=4.096 b=4.096 c=12.321 alpha=90.00 beta=90.00 gamma=90.00
Positions (direct):
Al  0.000  0.000  0.334
Al  0.000  0.000  0.666
Ga  0.000  0.000  0.000
Ag  0.500  0.500  0.000
Ag  0.500  0.500  0.334
Ag  0.500  0.500  0.666
Ag  0.500  0.000  0.169
Ag  0.500  0.000  0.500
Ag  0.500  0.000  0.831
Ag  0.000  0.500  0.169
Ag  0.000  0.500  0.500
Ag  0.000  0.500  0.831


This record from Alexandria via LeMat-Bulk describes crystalline Sr5Mg4Cd at its relaxed geometry. The functional is PBE-GGA.

Computed properties:
total DFT energy (no corrections) = -16.82 eV per formula unit
calculated formation energy = -1.118 eV per formula unit
DOS(E_F) = 9.3 states/eV per cell

Unit cell a=4.132 b=4.132 c=20.989 alpha=90.00 beta=90.00 gamma=90.00
Positions (direct):
Sr  0.500  0.500  0.094
Sr  0.500  0.500  0.298
Sr  0.500  0.500  0.500
Sr  0.500  0.500  0.702
Sr  0.500  0.500  0.906
Mg  0.000  0.000  0.197
Mg  0.000  0.000  0.399
Mg  0.000  0.000  0.601
Mg  0.000  0.000  0.803
Cd  0.000  0.000  0.000


This record from Alexandria via LeMat-Bulk describes crystalline TlP2H at its relaxed geometry. The functional is PBE-GGA.

Computed properties:
total DFT energy (no corrections) = -11.95 eV per formula unit
offset from the most stable computed form = 1.066 eV/atom
DOS(E_F) = 3.8 states/eV per cell

Unit cell a=4.584 b=4.584 c=4.584 alpha=60.00 beta=60.00 gamma=60.00
Positions (direct):
P  0.250  0.250  0.250
P  0.750  0.750  0.750
Tl  0.500  0.500  0.500
H  0.000  0.000  0.000


This record from Alexandria via LeMat-Bulk describes crystalline Li2AlW at its relaxed geometry. The functional is PBE-GGA.

Computed properties:
total DFT energy (no corrections) = -19.91 eV per formula unit
calculated formation energy = 0.614 eV per formula unit
DOS(E_F) = 3.7 states/eV per cell

Unit cell a=9.770 b=9.770 c=9.770 alpha=16.52 beta=16.52 gamma=16.52
Positions (direct):
Al  0.752  0.752  0.752
Li  0.004  0.004  0.004
Li  0.247  0.247  0.247
W  0.497  0.497  0.497


This record from Alexandria via LeMat-Bulk describes crystalline SiTc4Pb at its relaxed geometry. The functional is PBE-GGA.

Computed properties:
total DFT energy (no corrections) = -46.90 eV per formula unit
formation energy from raw total energies = 0.62 eV per atom
DOS(E_F) = 6.5 states/eV per cell

Unit cell a=5.241 b=5.241 c=5.241 alpha=60.00 beta=60.00 gamma=60.00
Positions (direct):
Si  0.000  0.000  0.000
Tc  0.877  0.374  0.374
Tc  0.374  0.374  0.877
Tc  0.374  0.877  0.374
Tc  0.374  0.374  0.374
Pb  0.750  0.750  0.750


- Which value of DOS(E_F) does entry 3 give?
  9.7 states/eV per cell


- Which formula does entry 6 have?
  TlTc2P